Material: Lu2TlSn
Method: DFT, GGA-PBE
State: relaxed

Cell lengths 3.831, 3.831, 7.097 Å; angles 90.00, 90.00, 90.00 degrees
Space group P4/mmm (No. 123)
Inequivalent atoms, fractional coordinates:
Lu: 0.000 0.000 0.245 x2
Tl: 0.500 0.500 0.500 x1
Sn: 0.500 0.500 0.000 x1

Material: ZrIrCl2
Method: DFT, GGA-PBE
State: relaxed

Cell lengths 3.540, 3.174, 8.770 Å; angles 90.00, 92.34, 90.00 degrees
Space group Pm (No. 6)
Inequivalent atoms, fractional coordinates:
Zr: 0.000 0.000 0.000 x1
Ir: 0.508 0.500 0.161 x1
Cl: 0.462 0.000 0.380 x1
Cl: 0.975 0.500 0.772 x1

Output
Energy relative to the elements, uncorrected in eV per atom: -0.806

Number 1: energy above the most stable polymorph in this dataset 0.035 eV per atom. Number 2: energy above the most stable polymorph in this dataset 0.000 eV per atom.